(1)
{
  "formula": "Tl3C",
  "functional": "GGA-PBEsol",
  "state": "optimized geometry",
  "vol_a3_per_atom": 23.06,
  "magnetic_moment_mub_per_fu": 0.00,
  "formation_enthalpy_0k_kj_per_mol_atoms": 106.60,
  "dft_energy_ev_per_fu": -13.11,
  "dos_ef_per_ev_fu": 2.2,
  "lattice_angstrom": [[3.330, 0.000, 0.000], [0.000, 3.444, 0.000], [0.000, 0.000, 8.042]],
  "species": ["Tl", "Tl", "Tl", "C"],
  "fractional_positions": [[0.000, 0.000, 0.000], [0.000, 0.500, 0.339], [0.500, 0.500, 0.689], [0.500, 0.000, 0.266]]
}

(2)
{
  "formula": "TlIr2N",
  "functional": "GGA-PBEsol",
  "state": "optimized geometry",
  "vol_a3_per_atom": 15.50,
  "magnetic_moment_mub_per_fu": 0.00,
  "dft_energy_ev_per_fu": -28.85,
  "dos_ef_per_ev_fu": 0.8,
  "raw_formation_energy_kj_per_mol_fu": 189,
  "lattice_angstrom": [[-3.214, 3.214, 3.001], [3.214, -3.214, 3.001], [3.214, 3.214, -3.001]],
  "species": ["Tl", "Tl", "Ir", "Ir", "Ir", "Ir", "N", "N"],
  "fractional_positions": [[0.000, 0.000, 0.000], [0.750, 0.250, 0.500], [0.253, 0.625, 0.128], [0.375, 0.503, 0.628], [0.497, 0.125, 0.872], [0.875, 0.747, 0.372], [0.250, 0.750, 0.500], [0.500, 0.500, 0.000]]
}

(3)
{
  "formula": "ReCO2F",
  "functional": "GGA-PBEsol",
  "state": "optimized geometry",
  "vol_a3_per_atom": 11.61,
  "magnetic_moment_mub_per_fu": 1.96,
  "dft_energy_ev_per_fu": -33.86,
  "dos_ef_per_ev_fu": 5.0,
  "raw_formation_energy_kj_per_mol_fu": 149,
  "lattice_angstrom": [[3.771, 0.000, 0.000], [0.000, 3.771, 0.000], [0.000, 0.000, 4.083]],
  "species": ["Re", "C", "O", "O", "F"],
  "fractional_positions": [[0.000, 0.000, 0.000], [0.500, 0.500, 0.500], [0.000, 0.500, 0.000], [0.500, 0.000, 0.000], [0.000, 0.000, 0.500]]
}

(4)
{
  "formula": "Hg2Pd2Pb",
  "functional": "GGA-PBEsol",
  "state": "optimized geometry",
  "vol_a3_per_atom": 19.34,
  "magnetic_moment_mub_per_fu": 0.00,
  "formation_enthalpy_0k_kj_per_mol_atoms": -15.48,
  "dft_energy_ev_per_fu": -17.85,
  "dos_ef_per_ev_fu": 1.6,
  "lattice_angstrom": [[7.441, 0.000, 0.000], [0.000, 7.441, 0.000], [0.000, 0.000, 3.494]],
  "species": ["Hg", "Hg", "Hg", "Hg", "Pd", "Pd", "Pd", "Pd", "Pb", "Pb"],
  "fractional_positions": [[0.154, 0.346, 0.000], [0.346, 0.846, 0.000], [0.654, 0.154, 0.000], [0.846, 0.654, 0.000], [0.142, 0.642, 0.500], [0.358, 0.142, 0.500], [0.642, 0.858, 0.500], [0.858, 0.358, 0.500], [0.000, 0.000, 0.500], [0.500, 0.500, 0.500]]
}

(5)
{
  "formula": "SmSiAg",
  "functional": "GGA-PBEsol",
  "state": "optimized geometry",
  "vol_a3_per_atom": 20.11,
  "magnetic_moment_mub_per_fu": 0.00,
  "dft_energy_ev_per_fu": -16.03,
  "dos_ef_per_ev_fu": 0.5,
  "raw_formation_energy_kj_per_mol_fu": -181,
  "lattice_angstrom": [[7.030, 0.000, 0.000], [-3.515, 6.089, 0.000], [0.000, 0.000, 4.227]],
  "species": ["Sm", "Sm", "Sm", "Si", "Si", "Si", "Ag", "Ag", "Ag"],
  "fractional_positions": [[0.000, 0.418, 0.000], [0.418, 0.000, 0.000], [0.582, 0.582, 0.000], [0.000, 0.000, 0.000], [0.333, 0.667, 0.500], [0.667, 0.333, 0.500], [0.000, 0.753, 0.500], [0.247, 0.247, 0.500], [0.753, 0.000, 0.500]]
}

(6)
{
  "formula": "Li2Fe5Si4O14",
  "functional": "GGA-PBEsol",
  "state": "optimized geometry",
  "vol_a3_per_atom": 10.45,
  "magnetic_moment_mub_per_fu": 20.00,
  "dft_energy_ev_per_fu": -192.96,
  "dos_ef_per_ev_fu": 8.0,
  "raw_formation_energy_kj_per_mol_fu": -4605,
  "lattice_angstrom": [[5.257, 0.000, 0.000], [-1.161, 7.025, 0.000], [-0.708, -3.073, 7.073]],
  "species": ["Li", "Li", "Fe", "Fe", "Fe", "Fe", "Fe", "Si", "Si", "Si", "Si", "O", "O", "O", "O", "O", "O", "O", "O", "O", "O", "O", "O", "O", "O"],
  "fractional_positions": [[0.250, 0.095, 0.460], [0.750, 0.905, 0.540], [0.000, 0.000, 0.000], [0.054, 0.432, 0.837], [0.330, 0.420, 0.279], [0.670, 0.580, 0.721], [0.946, 0.568, 0.163], [0.189, 0.785, 0.592], [0.486, 0.788, 0.126], [0.514, 0.212, 0.874], [0.811, 0.215, 0.408], [0.042, 0.184, 0.277], [0.074, 0.808, 0.401], [0.175, 0.729, 0.033], [0.308, 0.581, 0.555], [0.335, 0.187, 0.028], [0.436, 0.380, 0.792], [0.447, 0.985, 0.689], [0.553, 0.015, 0.311], [0.564, 0.620, 0.208], [0.665, 0.813, 0.972], [0.692, 0.419, 0.445], [0.825, 0.271, 0.967], [0.926, 0.192, 0.599], [0.958, 0.816, 0.723]]
}

(7)
{
  "formula": "MgZrNF2",
  "functional": "GGA-PBEsol",
  "state": "optimized geometry",
  "vol_a3_per_atom": 14.89,
  "magnetic_moment_mub_per_fu": 0.00,
  "dft_energy_ev_per_fu": -32.33,
  "dos_ef_per_ev_fu": 2.2,
  "raw_formation_energy_kj_per_mol_fu": -882,
  "lattice_angstrom": [[4.207, 0.000, 0.000], [0.000, 4.207, 0.000], [0.000, 0.000, 4.208]],
  "species": ["Mg", "Zr", "N", "F", "F"],
  "fractional_positions": [[0.000, 0.000, 0.000], [0.500, 0.500, 0.500], [0.500, 0.500, 0.000], [0.000, 0.500, 0.500], [0.500, 0.000, 0.500]]
}

(8)
{
  "formula": "Li3LaTl",
  "functional": "GGA-PBEsol",
  "state": "optimized geometry",
  "vol_a3_per_atom": 35.22,
  "magnetic_moment_mub_per_fu": 2.80,
  "formation_enthalpy_0k_kj_per_mol_atoms": 98.94,
  "dft_energy_ev_per_fu": -8.75,
  "dos_ef_per_ev_fu": 6.6,
  "lattice_angstrom": [[5.605, 0.000, 0.000], [0.000, 5.605, 0.000], [0.000, 0.000, 5.605]],
  "species": ["Li", "Li", "Li", "La", "Tl"],
  "fractional_positions": [[0.000, 0.000, 0.500], [0.000, 0.500, 0.000], [0.500, 0.000, 0.000], [0.000, 0.000, 0.000], [0.500, 0.500, 0.500]]
}